DFT (PBE-GGA) results for Tm3Mg4Cd4 after structural relaxation.

Cell: 4.3676 7.9581 15.5078 Å, 90.00 90.00 90.00°
Space group Immm (No. 71)
One atom of each set of equivalent atoms:
Tm: 0.0000 0.0000 0.0000 (multiplicity 2)
Tm: 0.0000 0.5000 0.1170 (multiplicity 4)
Mg: 0.0000 0.3073 0.3289 (multiplicity 8)
Cd: 0.0000 0.0000 0.2285 (multiplicity 4)
Cd: 0.0000 0.1924 0.5000 (multiplicity 4)

Values from the calculation:
- Polymorph energy (0 for the lowest one): 5.55 kJ per mole of atoms
- ΔE_f: -0.1439 eV per atom
- Total moment: 0.00 μB per formula unit

DFT (PBE-GGA) results for HgP2 after structural relaxation.

Cell: 2.6886 8.3709 2.6888 Å, 90.00 90.00 90.00°
Space group Pmm2 (No. 25)
One atom of each set of equivalent atoms:
Hg: 0.0000 0.0000 0.0000 (multiplicity 1)
P: 0.0000 0.3668 0.0073 (multiplicity 2)

Values from the calculation:
- ΔE_f: 0.3167 eV per atom
- Total moment: 0.00 μB per formula unit

DFT (PBE-GGA) results for LiPmHfGa after structural relaxation.

Cell: 6.9895 6.9895 6.9895 Å, 90.00 90.00 90.00°
Space group F-43m (No. 216)
One atom of each set of equivalent atoms:
Li: 0.0000 0.0000 0.0000 (multiplicity 4)
Pm: 0.2500 0.2500 0.2500 (multiplicity 4)
Hf: 0.2500 0.2500 0.7500 (multiplicity 4)
Ga: 0.0000 0.0000 0.5000 (multiplicity 4)

Values from the calculation:
- ΔE_f: -0.1212 eV per atom
- Total moment: 0.00 μB per formula unit

DFT (PBE-GGA) results for AlOsOF2 after structural relaxation.

Cell: 4.4330 4.4330 3.7573 Å, 90.00 90.00 90.00°
Space group P4/mmm (No. 123)
One atom of each set of equivalent atoms:
Al: 0.0000 0.0000 0.0000 (multiplicity 1)
Os: 0.5000 0.5000 0.5000 (multiplicity 1)
O: 0.5000 0.5000 0.0000 (multiplicity 1)
F: 0.0000 0.5000 0.5000 (multiplicity 2)

Values from the calculation:
- Polymorph energy (0 for the lowest one): 18.35 kJ per mole of atoms
- Total moment: 0.00 μB per formula unit
- Formation energy (no corrections): -0.6779 eV per atom

DFT (PBE-GGA) results for LiAcDyCu after structural relaxation.

Cell: 7.4792 7.4792 7.4792 Å, 90.00 90.00 90.00°
Space group F-43m (No. 216)
One atom of each set of equivalent atoms:
Li: 0.0000 0.0000 0.0000 (multiplicity 4)
Ac: 0.2500 0.2500 0.2500 (multiplicity 4)
Dy: 0.2500 0.2500 0.7500 (multiplicity 4)
Cu: 0.0000 0.0000 0.5000 (multiplicity 4)

Values from the calculation:
- ΔE_f: 0.0466 eV per atom
- Total moment: 0.00 μB per formula unit

DFT (PBE-GGA) results for GdEr2Ni after structural relaxation.

Cell: 3.7154 3.7154 27.6328 Å, 90.00 90.00 120.00°
Space group R-3m (No. 166, hexagonal axes)
One atom of each set of equivalent atoms:
Gd: 0.0000 0.0000 0.0000 (multiplicity 3)
Er: 0.0000 0.0000 0.2250 (multiplicity 6)
Ni: 0.0000 0.0000 0.5000 (multiplicity 3)

Values from the calculation:
- Polymorph energy (0 for the lowest one): 9.53 kJ per mole of atoms
- ΔE_f: -0.0933 eV per atom
- Total moment: 7.80 μB per formula unit

DFT (PBE-GGA) results for ZrH2Br6 after structural relaxation.

Cell: 15.0984 13.5248 6.5728 Å, 90.00 98.85 90.00°
Space group C2/c (No. 15)
One atom of each set of equivalent atoms:
Zr: 0.0000 0.0967 0.2500 (multiplicity 4)
H: 0.1303 0.4779 0.7820 (multiplicity 8)
Br: 0.1008 0.0620 0.6129 (multiplicity 8)
Br: 0.1093 0.2173 0.1407 (multiplicity 8)
Br: 0.1316 0.4146 0.6041 (multiplicity 8)

Values from the calculation:
- Total moment: 0.00 μB per formula unit

DFT (PBE-GGA) results for Ce2Al8Pd after structural relaxation.

Cell: 4.3505 4.3505 11.3231 Å, 90.00 90.00 90.00°
Space group P4/mmm (No. 123)
One atom of each set of equivalent atoms:
Ce: 0.0000 0.0000 0.1902 (multiplicity 2)
Al: 0.0000 0.5000 0.0000 (multiplicity 2)
Al: 0.0000 0.5000 0.3758 (multiplicity 4)
Al: 0.5000 0.5000 0.1960 (multiplicity 2)
Pd: 0.0000 0.0000 0.5000 (multiplicity 1)

Values from the calculation:
- ΔE_f: -0.4597 eV per atom
- Total moment: 0.00 μB per formula unit

DFT (PBE-GGA) results for PaV2Ag2S6 after structural relaxation.

Cell: 6.3443 10.3992 6.8728 Å, 90.00 91.78 90.00°
Space group C2/m (No. 12)
One atom of each set of equivalent atoms:
Pa: 0.0000 0.0000 0.0000 (multiplicity 2)
V: 0.0000 0.3658 0.0000 (multiplicity 4)
Ag: 0.0000 0.1373 0.5000 (multiplicity 4)
S: 0.1464 0.5000 0.7719 (multiplicity 4)
S: 0.1885 0.1875 0.8041 (multiplicity 8)

Values from the calculation:
- Total moment: 1.75 μB per formula unit
- Formation energy (no corrections): -0.8397 eV per atom

DFT (PBE-GGA) results for LaBe2Sb after structural relaxation.

Cell: 6.9826 6.9826 6.9826 Å, 90.00 90.00 90.00°
Space group F-43m (No. 216)
One atom of each set of equivalent atoms:
La: 0.0000 0.0000 0.0000 (multiplicity 4)
Be: 0.0000 0.0000 0.5000 (multiplicity 4)
Be: 0.2500 0.2500 0.2500 (multiplicity 4)
Sb: 0.2500 0.2500 0.7500 (multiplicity 4)

Values from the calculation:
- Polymorph energy (0 for the lowest one): 58.93 kJ per mole of atoms
- Total moment: 0.00 μB per formula unit
- Formation energy (no corrections): 0.3834 eV per atom

DFT (PBE-GGA) results for Cs2SmRhO4 after structural relaxation.

Cell: 6.0192 13.9454 24.3768 Å, 90.00 90.00 90.00°
Space group Fddd (No. 70, origin choice 2)
One atom of each set of equivalent atoms:
Cs: 0.1250 0.1250 0.3161 (multiplicity 16)
Sm: 0.1250 0.1250 0.1250 (multiplicity 8)
Rh: 0.1250 0.1250 0.6250 (multiplicity 8)
O: 0.1009 0.2752 0.8535 (multiplicity 32)

Values from the calculation:
- Total moment: 2.01 μB per formula unit
- Formation energy (no corrections): -1.4089 eV per atom

DFT (PBE-GGA) results for Dy9Er2Tm3 after structural relaxation.

Cell: 6.4060 6.4914 11.4632 Å, 105.31 103.71 94.95°
Space group P-1 (No. 2)
One atom of each set of equivalent atoms:
Dy: 0.0000 0.0000 0.0000 (multiplicity 1)
Dy: 0.0679 0.2086 0.7276 (multiplicity 2)
Dy: 0.2048 0.6949 0.5926 (multiplicity 2)
Dy: 0.2513 0.4133 0.2928 (multiplicity 2)
Dy: 0.4136 0.8779 0.2093 (multiplicity 2)
Er: 0.4470 0.6822 0.9094 (multiplicity 2)
Tm: 0.0000 0.5000 0.0000 (multiplicity 1)
Tm: 0.3224 0.1664 0.5096 (multiplicity 2)

Values from the calculation:
- ΔE_f: 0.1151 eV per atom
- Total moment: 0.00 μB per formula unit

DFT (PBE-GGA) results for RePt2Rh5 after structural relaxation.

Cell: 3.8730 3.8730 15.5733 Å, 90.00 90.00 90.00°
Space group I4/mmm (No. 139)
One atom of each set of equivalent atoms:
Re: 0.0000 0.0000 0.0000 (multiplicity 2)
Pt: 0.0000 0.0000 0.2534 (multiplicity 4)
Rh: 0.0000 0.0000 0.5000 (multiplicity 2)
Rh: 0.0000 0.5000 0.1185 (multiplicity 8)

Values from the calculation:
- ΔE_f: -0.1075 eV per atom
- Total moment: 0.00 μB per formula unit

DFT (PBE-GGA) results for Pa6CrS12 after structural relaxation.

Cell: 11.9403 11.9403 10.8420 Å, 90.00 90.00 120.00°
Space group R-3 (No. 148, hexagonal axes)
One atom of each set of equivalent atoms:
Pa: 0.0546 0.7796 0.1489 (multiplicity 18)
Cr: 0.0000 0.0000 0.5000 (multiplicity 3)
S: 0.0367 0.8220 0.8922 (multiplicity 18)
S: 0.0487 0.8484 0.3884 (multiplicity 18)

Values from the calculation:
- Total moment: 12.09 μB per formula unit
- Formation energy (no corrections): -1.4638 eV per atom

DFT (PBE-GGA) results for CoAgMo after structural relaxation.

Cell: 2.7484 2.7484 6.8168 Å, 90.00 90.00 120.00°
Space group P3m1 (No. 156)
One atom of each set of equivalent atoms:
Co: 0.0000 0.0000 0.0000 (multiplicity 1)
Ag: 0.3333 0.6667 0.6621 (multiplicity 1)
Mo: 0.6667 0.3333 0.2859 (multiplicity 1)

Values from the calculation:
- Polymorph energy (0 for the lowest one): 3.48 kJ per mole of atoms
- ΔE_f: 0.3711 eV per atom
- Total moment: 0.32 μB per formula unit

DFT (PBE-GGA) results for PrAgPb after structural relaxation.

Cell: 4.9190 4.9190 7.7651 Å, 90.00 90.00 120.00°
Space group P6_3mc (No. 186)
One atom of each set of equivalent atoms:
Pr: 0.0000 0.0000 0.0000 (multiplicity 2)
Ag: 0.3333 0.6667 0.3063 (multiplicity 2)
Pb: 0.3333 0.6667 0.7195 (multiplicity 2)

Values from the calculation:
- ΔE_f: -0.4600 eV per atom
- Total moment: 0.00 μB per formula unit

DFT (PBE-GGA) results for TlH2Ir after structural relaxation.

Cell: 3.0210 3.0210 18.9868 Å, 90.00 90.00 120.00°
Space group R-3m (No. 166, hexagonal axes)
One atom of each set of equivalent atoms:
Tl: 0.0000 0.0000 0.0000 (multiplicity 3)
H: 0.0000 0.0000 0.2052 (multiplicity 6)
Ir: 0.0000 0.0000 0.5000 (multiplicity 3)

Values from the calculation:
- Polymorph energy (0 for the lowest one): 6.59 kJ per mole of atoms
- Total moment: 0.00 μB per formula unit

DFT (PBE-GGA) results for LaBeTc after structural relaxation.

Cell: 3.3548 3.3548 9.7832 Å, 90.00 90.00 90.00°
Space group I4mm (No. 107)
One atom of each set of equivalent atoms:
La: 0.0000 0.0000 0.0000 (multiplicity 2)
Be: 0.0000 0.0000 0.2813 (multiplicity 2)
Tc: 0.0000 0.0000 0.7367 (multiplicity 2)

Values from the calculation:
- Polymorph energy (0 for the lowest one): 0.00 kJ per mole of atoms
- ΔE_f: 0.0860 eV per atom
- Total moment: 0.00 μB per formula unit

DFT (PBE-GGA) results for LaNbCr after structural relaxation.

Cell: 3.1526 3.9735 5.5630 Å, 90.00 102.86 90.00°
Space group P2/m (No. 10)
One atom of each set of equivalent atoms:
La: 0.0000 0.0000 0.0000 (multiplicity 1)
Nb: 0.5000 0.5000 0.5000 (multiplicity 1)
Cr: 0.0000 0.0000 0.5000 (multiplicity 1)

Values from the calculation:
- Polymorph energy (0 for the lowest one): 19.23 kJ per mole of atoms
- ΔE_f: 0.5658 eV per atom
- Total moment: 0.62 μB per formula unit

Number 1: VASP energy -2.2760 eV/atom. Number 2: VASP energy -3.3905 eV/atom. Number 3: VASP energy -5.0324 eV/atom. Number 4: VASP energy -5.4125 eV/atom. Number 5: VASP energy -3.6335 eV/atom. Number 6: VASP energy -7.3402 eV/atom. Number 7: VASP energy -3.6777 eV/atom. Number 8: VASP energy -4.7325 eV/atom. Number 9: VASP energy -6.1307 eV/atom. Number 10: VASP energy -3.7422 eV/atom. Number 11: VASP energy -5.6102 eV/atom. Number 12: VASP energy -4.4534 eV/atom. Number 13: VASP energy -7.7683 eV/atom. Number 14: VASP energy -7.5758 eV/atom. Number 15: VASP energy -6.5583 eV/atom. Number 16: VASP energy -4.2397 eV/atom. Number 17: VASP energy -4.1902 eV/atom. Number 18: VASP energy -6.2539 eV/atom. Number 19: VASP energy -7.6410 eV/atom.